[1]
Compound: LiPmCdIn
Source: Alexandria via LeMat-Bulk
Functional: PBE
Structure: optimized geometry

Cell lengths 5.162, 5.162, 5.162 Å; angles 60.00, 60.00, 60.00 degrees
Atoms (fractional coordinates):
Cd (0.750, 0.750, 0.750)
In (0.250, 0.250, 0.250)
Li (0.000, 0.000, 0.000)
Pm (0.500, 0.500, 0.500)

## Properties
- raw total energy (Ry per atom) = -0.21632
- DOS at the Fermi energy (states/eV/cell) = 1.927



[2]
Compound: La2InTc
Source: Alexandria via LeMat-Bulk
Functional: PBE
Structure: optimized geometry

Cell lengths 3.780, 5.017, 6.392 Å; angles 66.91, 90.00, 90.00 degrees
Atoms (fractional coordinates):
In (0.500, 0.558, 0.760)
La (0.000, 0.946, 0.983)
La (0.500, 0.254, 0.367)
Tc (0.000, 0.742, 0.390)

## Properties
- raw total energy (Ry per atom) = -0.43305
- DOS at the Fermi energy (states/eV/cell) = 3.620



[3]
Compound: Ru2W3
Source: Alexandria via LeMat-Bulk
Functional: PBE
Structure: optimized geometry

Cell lengths 11.646, 11.646, 11.646 Å; angles 13.69, 13.69, 13.69 degrees
Atoms (fractional coordinates):
Ru (0.601, 0.601, 0.601)
Ru (0.399, 0.399, 0.399)
W (0.000, 0.000, 0.000)
W (0.798, 0.798, 0.798)
W (0.202, 0.202, 0.202)

## Properties
- DOS at the Fermi energy (states/eV/cell) = 4.496
- energy relative to the lowest polymorph listed for this composition (eV/atom) = 0.1589